No. 1
# PBE ErMn6, optimized geometry
data_ErMn6
_cell_length_a 7.939
_cell_length_b 4.778
_cell_length_c 9.975
_cell_angle_alpha 90.00
_cell_angle_beta 90.00
_cell_angle_gamma 90.00
_symmetry_space_group_name_H-M 'P 1'
_symmetry_Int_Tables_number 1
loop_
_symmetry_equiv_pos_as_xyz
'x,y,z'
loop_
_atom_site_label
_atom_site_type_symbol
_atom_site_fract_x
_atom_site_fract_y
_atom_site_fract_z
Er1 Er 0.246 0.250 0.066
Er2 Er 0.254 0.750 0.566
Er3 Er 0.746 0.250 0.434
Er4 Er 0.754 0.750 0.934
Mn1 Mn 0.055 0.750 0.091
Mn2 Mn 0.070 0.015 0.309
Mn3 Mn 0.070 0.485 0.309
Mn4 Mn 0.085 0.250 0.527
Mn5 Mn 0.139 0.750 0.858
Mn6 Mn 0.193 0.250 0.758
Mn7 Mn 0.307 0.750 0.258
Mn8 Mn 0.361 0.250 0.358
Mn9 Mn 0.415 0.750 0.027
Mn10 Mn 0.430 0.515 0.809
Mn11 Mn 0.430 0.985 0.809
Mn12 Mn 0.445 0.250 0.591
Mn13 Mn 0.555 0.750 0.409
Mn14 Mn 0.570 0.015 0.191
Mn15 Mn 0.570 0.485 0.191
Mn16 Mn 0.585 0.250 0.973
Mn17 Mn 0.639 0.750 0.642
Mn18 Mn 0.693 0.250 0.742
Mn19 Mn 0.807 0.750 0.242
Mn20 Mn 0.861 0.250 0.142
Mn21 Mn 0.915 0.750 0.473
Mn22 Mn 0.930 0.515 0.691
Mn23 Mn 0.930 0.985 0.691
Mn24 Mn 0.945 0.250 0.909
# Raw total energy: -8.47 eV per atom
# M_tot: 10.9 μB/cell
# Symmetry: Pnma, No. 62
# Offset from the most stable computed form: 0 meV per atom
# DOS at the Fermi energy: 1.144 states/eV per atom

No. 2
# PBE TbCeEr4S8, optimized geometry
data_TbCeEr4S8
_cell_length_a 8.076
_cell_length_b 8.076
_cell_length_c 8.076
_cell_angle_alpha 59.79
_cell_angle_beta 59.79
_cell_angle_gamma 59.79
_symmetry_space_group_name_H-M 'P 1'
_symmetry_Int_Tables_number 1
loop_
_symmetry_equiv_pos_as_xyz
'x,y,z'
loop_
_atom_site_label
_atom_site_type_symbol
_atom_site_fract_x
_atom_site_fract_y
_atom_site_fract_z
Tb1 Tb 0.000 0.000 0.000
Ce1 Ce 0.625 0.625 0.625
Er1 Er 0.000 0.000 0.500
Er2 Er 0.000 0.500 0.000
Er3 Er 0.374 0.374 0.374
Er4 Er 0.500 0.000 0.000
S1 S 0.214 0.760 0.760
S2 S 0.242 0.242 0.242
S3 S 0.245 0.245 0.770
S4 S 0.245 0.770 0.245
S5 S 0.760 0.214 0.760
S6 S 0.760 0.760 0.214
S7 S 0.763 0.763 0.763
S8 S 0.770 0.245 0.245
# Raw formation energy: -1.9090 eV/atom
# Raw total energy: -6.33 eV per atom
# M_tot: 1.7 μB/cell
# Symmetry: R3m, No. 160
# DOS at the Fermi energy: 0.895 states/eV per atom

No. 3
# PBE Ir3PdSe, optimized geometry
data_Ir3PdSe
_cell_length_a 4.557
_cell_length_b 4.557
_cell_length_c 4.557
_cell_angle_alpha 90.00
_cell_angle_beta 90.00
_cell_angle_gamma 90.00
_symmetry_space_group_name_H-M 'P 1'
_symmetry_Int_Tables_number 1
loop_
_symmetry_equiv_pos_as_xyz
'x,y,z'
loop_
_atom_site_label
_atom_site_type_symbol
_atom_site_fract_x
_atom_site_fract_y
_atom_site_fract_z
Ir1 Ir 0.000 0.000 0.500
Ir2 Ir 0.000 0.500 0.000
Ir3 Ir 0.500 0.000 0.000
Pd1 Pd 0.500 0.500 0.500
Se1 Se 0.000 0.000 0.000
# Raw formation energy: 1.3262 eV/atom
# Raw total energy: -5.73 eV per atom
# M_tot: 0.8 μB/cell
# Symmetry: Pm-3m, No. 221
# Offset from the most stable computed form: 0 meV per atom
# DOS at the Fermi energy: 2.047 states/eV per atom

No. 4
# PBE NaAsRuSe2, optimized geometry
data_NaAsRuSe2
_cell_length_a 5.157
_cell_length_b 5.157
_cell_length_c 4.623
_cell_angle_alpha 90.00
_cell_angle_beta 90.00
_cell_angle_gamma 90.00
_symmetry_space_group_name_H-M 'P 1'
_symmetry_Int_Tables_number 1
loop_
_symmetry_equiv_pos_as_xyz
'x,y,z'
loop_
_atom_site_label
_atom_site_type_symbol
_atom_site_fract_x
_atom_site_fract_y
_atom_site_fract_z
Na1 Na 0.000 0.000 0.000
As1 As 0.500 0.500 0.000
Ru1 Ru 0.500 0.500 0.500
Se1 Se 0.000 0.500 0.500
Se2 Se 0.500 0.000 0.500
# Raw formation energy: 0.0595 eV/atom
# Raw total energy: -4.38 eV per atom
# M_tot: 1.4 μB/cell
# Symmetry: P4/mmm, No. 123
# Offset from the most stable computed form: 0 meV per atom
# DOS at the Fermi energy: 1.338 states/eV per atom